[1]
BeFeAsOs: relaxed, PBE.

Cell lengths 4.0429, 4.0429, 4.0429 Å; angles 60.00, 60.00, 60.00 degrees
Positions (direct):
As1 0.0000 0.0000 0.0000
Fe1 0.7500 0.7500 0.7500
Os1 0.2500 0.2500 0.2500
Be1 0.5000 0.5000 0.5000

## Properties
Space group: No. 216
E (eV per formula unit): -27.752



[2]
BeFeAsOs: relaxed, PBE.

Cell lengths 4.1540, 4.1540, 4.1540 Å; angles 60.00, 60.00, 60.00 degrees
Positions (direct):
Os1 0.5000 0.5000 0.5000
As1 0.0000 0.0000 0.0000
Fe1 0.7500 0.7500 0.7500
Be1 0.2500 0.2500 0.2500

## Properties
Space group: No. 216
E (eV per formula unit): -26.260



[3]
BeFeReAs: relaxed, PBE.

Cell lengths 4.0681, 4.0681, 4.0681 Å; angles 60.00, 60.00, 60.00 degrees
Positions (direct):
As1 0.0000 0.0000 0.0000
Re1 0.2500 0.2500 0.2500
Fe1 0.7500 0.7500 0.7500
Be1 0.5000 0.5000 0.5000

## Properties
Space group: No. 216
E (eV per formula unit): -28.414



[4]
BeFeReAs: relaxed, PBE.

Cell lengths 4.1471, 4.1471, 4.1471 Å; angles 60.00, 60.00, 60.00 degrees
Positions (direct):
Fe1 0.7500 0.7500 0.7500
As1 0.0000 0.0000 0.0000
Re1 0.5000 0.5000 0.5000
Be1 0.2500 0.2500 0.2500

## Properties
Space group: No. 216
E (eV per formula unit): -27.152



[5]
ScBeFeAs: relaxed, PBE.

Cell lengths 4.1584, 4.1584, 4.1584 Å; angles 60.00, 60.00, 60.00 degrees
Positions (direct):
Fe1 0.2500 0.2500 0.2500
As1 0.0000 0.0000 0.0000
Be1 0.7500 0.7500 0.7500
Sc1 0.5000 0.5000 0.5000

## Properties
Space group: No. 216
E (eV per formula unit): -23.328



[6]
ScBeFeAs: relaxed, PBE.

Cell lengths 4.3237, 4.3237, 4.3237 Å; angles 60.00, 60.00, 60.00 degrees
Last column: magnetic moment on the atom in μB.
Positions (direct):
Sc1 0.7500 0.7500 0.7500  -0.17
Be1 0.2500 0.2500 0.2500  -0.04
Fe1 0.5000 0.5000 0.5000  1.85
As1 0.0000 0.0000 0.0000  0.01

## Properties
Space group: No. 216
E (eV per formula unit): -22.830



[7]
ScBeFeAs: relaxed, PBE.

Cell lengths 4.2206, 4.2206, 4.2206 Å; angles 60.00, 60.00, 60.00 degrees
Positions (direct):
Be1 0.7500 0.7500 0.7500
Sc1 0.0000 0.0000 0.0000
Fe1 0.5000 0.5000 0.5000
As1 0.2500 0.2500 0.2500

## Properties
Space group: No. 216
E (eV per formula unit): -23.635



[8]
SrBeFeAs2: relaxed, PBE.

Cell lengths 6.6459, 6.6459, 6.6459 Å; angles 145.93, 145.93, 48.95 degrees
Last column: magnetic moment on the atom in μB.
Positions (direct):
Be1 0.0000 0.0000 0.0000  0.00
Fe1 0.5000 0.5000 0.0000  1.26
As1 0.3925 0.8925 0.5000  0.00
As2 0.1075 0.6075 0.5000  -0.01
Sr1 0.7500 0.2500 0.5000  0.01

## Properties
Space group: No. 119
E (eV per formula unit): -25.350



[9]
TaBeFeAs: relaxed, PBE.

Cell lengths 4.2195, 4.2195, 4.2195 Å; angles 60.00, 60.00, 60.00 degrees
Positions (direct):
Be1 0.2500 0.2500 0.2500
Fe1 0.7500 0.7500 0.7500
As1 0.0000 0.0000 0.0000
Ta1 0.5000 0.5000 0.5000

## Properties
Space group: No. 216
E (eV per formula unit): -27.556



[10]
TaBeFeAs: relaxed, PBE.

Cell lengths 4.2194, 4.2194, 4.2194 Å; angles 60.00, 60.00, 60.00 degrees
Positions (direct):
Ta1 0.2500 0.2500 0.2500
As1 0.0000 0.0000 0.0000
Be1 0.5000 0.5000 0.5000
Fe1 0.7500 0.7500 0.7500

## Properties
Space group: No. 216
E (eV per formula unit): -27.712



[11]
BeTlFeAs: relaxed, PBE.

Cell lengths 4.5103, 4.5103, 4.5103 Å; angles 60.00, 60.00, 60.00 degrees
Positions (direct):
Tl1 0.5000 0.5000 0.5000
As1 0.0000 0.0000 0.0000
Fe1 0.2500 0.2500 0.2500
Be1 0.7500 0.7500 0.7500

## Properties
Space group: No. 216
E (eV per formula unit): -16.322



[12]
BeTlFeAs: relaxed, PBE.

Cell lengths 4.5944, 4.5944, 4.5944 Å; angles 60.00, 60.00, 60.00 degrees
Positions (direct):
Tl1 0.5000 0.5000 0.5000
Be1 0.7500 0.7500 0.7500
As1 0.2500 0.2500 0.2500
Fe1 0.0000 0.0000 0.0000

## Properties
Space group: No. 216
E (eV per formula unit): -15.817